1.
Ce2Y3Ru2: optimized geometry, PBE-GGA.

Summary:
* final energy: -7.42 eV per atom
* ΔE_f: -307 meV/atom
* V: 26.57 Å³ per atom
* DOS(E_F): 22.6 states/eV per cell

Cell lengths 11.9339, 3.7693, 8.9590 Å; angles 90.00, 112.64, 90.00 degrees
Last column: nearest neighbours and their distance in Å.
Space group C2/m (No. 12)
Symmetry-distinct sites (fractional):
1 Ce 0.1715 0.0000 0.3094 x4  2 Ru 2.55
2 Y 0.0000 0.5000 0.5000 x2  4 Ru 3.11, 2 Y 3.46
3 Y 0.1166 0.5000 0.9179 x4  3 Ru 2.93-3.07
4 Ru 0.1987 0.0000 0.7312 x4  2 Ce 2.55

***

2.
Ce3Y2Ru2: optimized geometry, PBE-GGA.

Summary:
* final energy: -7.30 eV per atom
* ΔE_f: -262 meV/atom
* V: 25.32 Å³ per atom
* DOS(E_F): 25.9 states/eV per cell

Cell lengths 11.4653, 3.7999, 8.6844 Å; angles 90.00, 110.46, 90.00 degrees
Last column: nearest neighbours and their distance in Å.
Space group C2/m (No. 12)
Symmetry-distinct sites (fractional):
1 Ce 0.0000 0.0000 0.0000 x2  4 Ru 2.71
2 Ce 0.1224 0.0000 0.4334 x4  2 Ru 2.73
3 Y 0.1627 0.5000 0.8015 x4  3 Ru 3.07-3.33
4 Ru 0.1309 0.5000 0.2119 x4  4 Ce 2.71-2.73

***

3.
CeY2Ru3: optimized geometry, PBE-GGA.

Summary:
* final energy: -7.76 eV per atom
* ΔE_f: 20 meV/atom
* V: 21.39 Å³ per atom
* DOS(E_F): 12.9 states/eV per cell
* energy relative to the lowest polymorph listed for this composition: 383 meV per atom

Cell lengths 3.3261, 5.5878, 13.8103 Å; angles 90.00, 90.00, 90.00 degrees
Last column: nearest neighbours and their distance in Å.
Space group Immm (No. 71)
Symmetry-distinct sites (fractional):
1 Ce 0.0000 0.0000 0.0000 x2  6 Ru 2.69-2.79
2 Y 0.0000 0.0000 0.3302 x4  6 Ru 2.80-2.96
3 Ru 0.0000 0.5000 0.0000 x2  2 Ce 2.79, 4 Y 2.87
4 Ru 0.0000 0.5000 0.3473 x4  2 Ce 2.69, 4 Y 2.80-2.96

***

4.
Ce2YRu3: optimized geometry, PBE-GGA.

Summary:
* final energy: -8.03 eV per atom
* ΔE_f: -340 meV/atom
* V: 20.39 Å³ per atom
* DOS(E_F): 5.1 states/eV per cell
* energy relative to the lowest polymorph listed for this composition: 0 meV per atom

Cell lengths 3.4260, 3.4260, 10.4216 Å; angles 90.00, 90.00, 90.00 degrees
Last column: nearest neighbours and their distance in Å.
Space group P4/mmm (No. 123)
Symmetry-distinct sites (fractional):
1 Ce 0.0000 0.0000 0.1680 x2  8 Ru 2.91-2.99
2 Y 0.0000 0.0000 0.5000 x1  8 Ru 3.05
3 Ru 0.5000 0.5000 0.0000 x1  8 Ce 2.99
4 Ru 0.5000 0.5000 0.3221 x2  4 Ce 2.91, 4 Y 3.05

***

5.
Ce3YRu: optimized geometry, PBE-GGA.

Summary:
* final energy: -6.74 eV per atom
* ΔE_f: -33 meV/atom
* V: 27.88 Å³ per atom
* DOS(E_F): 21.9 states/eV per cell

Cell lengths 6.5158, 6.0710, 7.0481 Å; angles 90.00, 90.02, 90.00 degrees
Last column: nearest neighbours and their distance in Å.
Space group P2_1 (No. 4)
Symmetry-distinct sites (fractional):
1 Ce 0.0739 0.0000 0.2502 x2  1 Ru 2.62, 2 Ce 2.86
2 Ce 0.2784 0.4994 0.9926 x2  2 Ru 2.70-2.88, 1 Ce 2.86
3 Ce 0.2786 0.4995 0.5075 x2  2 Ru 2.70-2.88, 1 Ce 2.86
4 Y 0.2225 0.9994 0.7503 x2  1 Ru 2.90
5 Ru 0.4250 0.7898 0.2501 x2  5 Ce 2.62-2.88, 1 Y 2.90

***

6.
Ce2YRu2: optimized geometry, PBE-GGA.

Summary:
* final energy: -7.58 eV per atom
* ΔE_f: -202 meV/atom
* V: 22.58 Å³ per atom
* DOS(E_F): 12.2 states/eV per cell
* energy relative to the lowest polymorph listed for this composition: 100 meV per atom

Cell lengths 8.3328, 6.5330, 5.4556 Å; angles 90.00, 130.52, 90.00 degrees
Last column: nearest neighbours and their distance in Å.
Space group C2/m (No. 12)
Symmetry-distinct sites (fractional):
1 Ce 0.0000 0.2324 0.0000 x4  2 Ru 2.57
2 Y 0.0000 0.5000 0.5000 x2  8 Ce 3.24-3.51, 8 Ru 3.31-3.51
3 Ru 0.2021 0.0000 0.7027 x4  1 Ru 2.56, 2 Ce 2.57

***

7.
CeYRu: optimized geometry, PBE-GGA.

Summary:
* final energy: -7.48 eV per atom
* ΔE_f: -252 meV/atom
* V: 24.42 Å³ per atom
* DOS(E_F): 9.3 states/eV per cell
* energy relative to the lowest polymorph listed for this composition: 34 meV per atom

Cell lengths 3.7305, 4.9368, 7.9559 Å; angles 90.00, 90.00, 90.00 degrees
Last column: nearest neighbours and their distance in Å.
Space group Pmmn (No. 59, origin choice 2)
Symmetry-distinct sites (fractional):
1 Ce 0.2500 0.2500 0.0584 x2  2 Ru 2.52
2 Y 0.2500 0.7500 0.3700 x2  5 Ru 2.85-3.19
3 Ru 0.2500 0.7500 0.7285 x2  2 Ce 2.52

***

8.
CeYRu: optimized geometry, PBE-GGA.

Summary:
* final energy: -7.42 eV per atom
* ΔE_f: -198 meV/atom
* V: 25.65 Å³ per atom
* DOS(E_F): 18.1 states/eV per cell
* energy relative to the lowest polymorph listed for this composition: 89 meV per atom

Cell lengths 4.8308, 12.0334, 5.2941 Å; angles 90.00, 90.00, 90.00 degrees
Last column: nearest neighbours and their distance in Å.
Space group Cmcm (No. 63)
Symmetry-distinct sites (fractional):
1 Ce 0.0000 0.1421 0.2500 x4  2 Ru 2.51
2 Y 0.0000 0.4110 0.2500 x4  2 Ru 2.96, 1 Ce 3.24
3 Ru 0.0000 0.3008 0.7500 x4  2 Ce 2.51

***

9.
Ce5YRu6: optimized geometry, PBE-GGA.

Summary:
* final energy: -7.97 eV per atom
* ΔE_f: -323 meV/atom
* V: 20.50 Å³ per atom
* DOS(E_F): 21.5 states/eV per cell

Cell lengths 8.1916, 14.4559, 4.9766 Å; angles 90.00, 123.41, 90.00 degrees
Last column: nearest neighbours and their distance in Å.
Space group C2/m (No. 12)
Symmetry-distinct sites (fractional):
1 Ce 0.0000 0.0000 0.0000 x2  6 Ru 2.79-2.94
2 Ce 0.0000 0.1687 0.5000 x4  8 Ru 2.94-3.01
3 Ce 0.0000 0.3365 0.0000 x4  6 Ru 2.85-2.95
4 Y 0.0000 0.5000 0.5000 x2  8 Ru 3.05-3.06
5 Ru 0.2379 0.1694 0.2071 x8  6 Ce 2.85-3.01, 1 Y 3.05, 1 Ru 3.19
6 Ru 0.2409 0.0000 0.7669 x4  5 Ce 2.79-2.95, 2 Y 3.05-3.06

***

10.
Ce3YRu3: optimized geometry, PBE-GGA.

Summary:
* final energy: -7.76 eV per atom
* ΔE_f: -321 meV/atom
* V: 24.53 Å³ per atom
* DOS(E_F): 50.7 states/eV per cell

Cell lengths 8.8649, 8.8649, 15.1404 Å; angles 90.00, 90.00, 120.00 degrees
Last column: nearest neighbours and their distance in Å.
Space group R-3 (No. 148, hexagonal axes)
Symmetry-distinct sites (fractional):
1 Ce 0.0262 0.2822 0.1075 x18  1 Ru 2.41
2 Y 0.0000 0.0000 0.3293 x6  6 Ru 2.87-3.11
3 Ru 0.0151 0.3763 0.9322 x18  1 Ce 2.41

***

11.
CeYRu2: optimized geometry, PBE-GGA.

Summary:
* final energy: -8.11 eV per atom
* ΔE_f: -372 meV/atom
* V: 20.22 Å³ per atom
* DOS(E_F): 1.7 states/eV per cell

Cell lengths 3.4297, 3.4297, 6.8768 Å; angles 90.00, 90.00, 90.00 degrees
Last column: nearest neighbours and their distance in Å.
Space group P4/mmm (No. 123)
Symmetry-distinct sites (fractional):
1 Ce 0.0000 0.0000 0.0000 x1  8 Ru 2.90
2 Y 0.0000 0.0000 0.5000 x1  8 Ru 3.05
3 Ru 0.5000 0.5000 0.2314 x2  4 Ce 2.90, 4 Y 3.05, 1 Ru 3.18

***

12.
Ce5YRu4: optimized geometry, PBE-GGA.

Summary:
* final energy: -7.50 eV per atom
* ΔE_f: -178 meV/atom
* V: 25.79 Å³ per atom
* DOS(E_F): 34.8 states/eV per cell

Cell lengths 7.9717, 9.5491, 6.7751 Å; angles 90.00, 90.00, 90.00 degrees
Last column: nearest neighbours and their distance in Å.
Space group Pmmn (No. 59, origin choice 2)
Symmetry-distinct sites (fractional):
1 Ce 0.0170 0.0602 0.2224 x8  2 Ru 2.50-2.64
2 Ce 0.2500 0.7500 0.3935 x2  2 Ru 2.49
3 Y 0.2500 0.2500 0.7467 x2  4 Ru 2.95-3.06
4 Ru 0.0724 0.7500 0.0083 x4  2 Ce 2.50
5 Ru 0.2500 0.0026 0.4861 x4  3 Ce 2.49-2.64